# CsLi2AsS4

A relaxed structure of CsLi2AsS4 (PBE-GGA, Alexandria via LeMat-Bulk).

a = 6.825 Å, b = 6.825 Å, c = 8.878 Å
α = 90.00°, β = 90.00°, γ = 90.00°
Fractional positions:
Cs 0.000 0.000 0.000
Cs 0.500 0.500 0.500
Li 0.000 0.500 0.250
Li 0.000 0.500 0.750
Li 0.500 0.000 0.250
Li 0.500 0.000 0.750
As 0.000 0.000 0.500
As 0.500 0.500 0.000
S 0.183 0.183 0.647
S 0.183 0.817 0.353
S 0.317 0.317 0.147
S 0.317 0.683 0.853
S 0.683 0.317 0.853
S 0.683 0.683 0.147
S 0.817 0.183 0.353
S 0.817 0.817 0.647

Calculated values
magnetic moment: 0.00 Bohr magnetons per cell
energy relative to the elements, uncorrected: -0.804 eV/atom